No. 1
# ZnInIr2F

Crystalline ZnInIr2F at its relaxed geometry (PBE-GGA, Alexandria).

a b c (Å): 4.803 3.754 4.803
angles (deg): 90.00 90.00 90.00
Fractional coordinates of all 5 atoms:
Ir 0.000 0.000 0.500
Ir 0.500 0.000 0.000
In 0.500 0.500 0.500
F 0.000 0.500 0.000
Zn 0.000 0.000 0.000

Output
As for the uncorrected formation energy: 0.45 eV/atom. The value obtained for the total DFT energy (no corrections) is -4.2749 eV/atom. The total magnetic moment is 0.00 μB per cell. The volume comes out at 86.6 Å³/cell.

No. 2
# K5In3F14

Crystalline K5In3F14 at its relaxed geometry (PBE-GGA, Alexandria).

a b c (Å): 8.112 8.112 12.018
angles (deg): 90.00 90.00 90.00
Fractional coordinates of all 44 atoms:
F 0.682 0.959 0.620
F 0.459 0.182 0.880
F 0.318 0.041 0.620
F 0.915 0.752 0.000
F 0.041 0.682 0.380
F 0.500 0.500 0.327
F 0.500 0.500 0.673
F 0.041 0.682 0.620
F 0.182 0.541 0.880
F 0.252 0.415 0.500
F 0.415 0.748 0.500
F 0.818 0.459 0.120
F 0.182 0.541 0.120
F 0.000 0.000 0.827
F 0.752 0.085 0.000
F 0.541 0.818 0.120
F 0.682 0.959 0.380
F 0.000 0.000 0.173
F 0.248 0.915 0.000
F 0.459 0.182 0.120
F 0.318 0.041 0.380
F 0.585 0.252 0.500
F 0.818 0.459 0.880
F 0.748 0.585 0.500
F 0.959 0.318 0.620
F 0.541 0.818 0.880
F 0.085 0.248 0.000
F 0.959 0.318 0.380
K 0.780 0.720 0.750
K 0.280 0.780 0.750
K 0.720 0.220 0.250
K 0.500 0.500 0.000
K 0.720 0.220 0.750
K 0.000 0.000 0.500
K 0.220 0.280 0.750
K 0.780 0.720 0.250
K 0.220 0.280 0.250
K 0.280 0.780 0.250
In 0.000 0.000 0.000
In 0.000 0.500 0.000
In 0.500 0.000 0.500
In 0.500 0.000 0.000
In 0.000 0.500 0.500
In 0.500 0.500 0.500

Output
As for the uncorrected formation energy: -2.72 eV/atom. The value obtained for the total DFT energy (no corrections) is -4.5377 eV/atom. The total magnetic moment is 0.92 μB per cell. The volume comes out at 790.7 Å³/cell.

No. 3
# KIn2F7

Crystalline KIn2F7 at its relaxed geometry (PBE-GGA, Alexandria).

a b c (Å): 8.311 6.754 11.015
angles (deg): 90.01 90.00 90.00
Fractional coordinates of all 40 atoms:
In 0.503 0.250 0.442
In 0.003 0.750 0.942
In 0.497 0.750 0.558
In 0.997 0.250 0.058
In 0.497 0.750 0.942
In 0.997 0.250 0.442
In 0.003 0.750 0.558
In 0.503 0.250 0.058
F 0.021 0.061 0.895
F 0.250 0.750 0.989
F 0.750 0.750 0.915
F 0.479 0.439 0.894
F 0.521 0.939 0.105
F 0.979 0.939 0.105
F 0.479 0.061 0.895
F 0.953 0.250 0.250
F 0.021 0.439 0.894
F 0.547 0.250 0.250
F 0.750 0.750 0.584
F 0.047 0.750 0.750
F 0.520 0.561 0.394
F 0.250 0.750 0.511
F 0.521 0.561 0.106
F 0.453 0.750 0.750
F 0.750 0.250 0.489
F 0.250 0.250 0.416
F 0.980 0.561 0.394
F 0.020 0.061 0.606
F 0.480 0.439 0.606
F 0.250 0.250 0.085
F 0.480 0.061 0.606
F 0.750 0.250 0.011
F 0.520 0.939 0.394
F 0.980 0.939 0.394
F 0.020 0.439 0.606
F 0.979 0.561 0.106
K 0.750 0.750 0.250
K 0.250 0.751 0.250
K 0.250 0.250 0.750
K 0.750 0.249 0.750

Output
As for the uncorrected formation energy: -2.61 eV/atom. The value obtained for the total DFT energy (no corrections) is -4.5809 eV/atom. The total magnetic moment is 0.00 μB per cell. The volume comes out at 618.3 Å³/cell.

No. 4
# K2InF

Crystalline K2InF at its relaxed geometry (PBE-GGA, Alexandria).

a b c (Å): 7.819 7.819 7.320
angles (deg): 57.72 57.72 90.00
Fractional coordinates of all 8 atoms:
F 0.500 0.500 0.000
F 0.250 0.750 0.500
K 0.499 0.125 0.250
K 0.251 0.625 0.250
K 0.375 0.501 0.750
K 0.875 0.749 0.750
In 0.750 0.250 0.500
In 0.000 0.000 0.000

Output
As for the uncorrected formation energy: -1.16 eV/atom. The value obtained for the total DFT energy (no corrections) is -2.8649 eV/atom. The total magnetic moment is 0.00 μB per cell. The volume comes out at 293.3 Å³/cell.

No. 5
# K5In2F12

Crystalline K5In2F12 at its relaxed geometry (PBE-GGA, Alexandria).

a b c (Å): 7.871 7.675 7.675
angles (deg): 65.53 61.85 61.85
Site moments in Bohr magnetons follow the coordinates.
Fractional coordinates of all 19 atoms:
K 0.486 0.310 0.310  0.00
K 0.991 0.744 0.744  0.00
K 0.009 0.256 0.256  0.00
K 0.500 0.000 0.000  0.00
K 0.514 0.690 0.690  0.00
F 0.775 0.488 0.887  0.03
F 0.214 0.255 0.844  0.02
F 0.775 0.887 0.488  0.03
F 0.225 0.113 0.512  0.03
F 0.786 0.745 0.156  0.02
F 0.888 0.486 0.486  0.43
F 0.112 0.514 0.514  0.43
F 0.855 0.114 0.114  0.02
F 0.214 0.844 0.255  0.02
F 0.225 0.512 0.113  0.03
F 0.786 0.156 0.745  0.02
F 0.145 0.886 0.886  0.02
In 0.000 0.222 0.778  0.00
In 0.000 0.778 0.222  0.00

Output
As for the uncorrected formation energy: -2.50 eV/atom. The value obtained for the total DFT energy (no corrections) is -4.2620 eV/atom. The total magnetic moment is 1.19 μB per cell. The volume comes out at 349.3 Å³/cell.

No. 6
# KIn3F9

Crystalline KIn3F9 at its relaxed geometry (PBE-GGA, Alexandria).

a b c (Å): 6.146 8.314 8.839
angles (deg): 90.00 92.46 90.00
Fractional coordinates of all 26 atoms:
F 0.156 0.950 0.790
F 0.558 0.750 0.696
F 0.630 0.750 0.326
F 0.285 0.966 0.476
F 0.082 0.250 0.985
F 0.844 0.050 0.210
F 0.715 0.034 0.524
F 0.918 0.750 0.015
F 0.156 0.550 0.790
F 0.370 0.250 0.674
F 0.305 0.954 0.119
F 0.305 0.546 0.119
F 0.285 0.534 0.476
F 0.695 0.046 0.881
F 0.695 0.454 0.881
F 0.442 0.250 0.304
F 0.715 0.466 0.524
F 0.844 0.450 0.210
In 0.000 0.500 0.000
In 0.531 0.502 0.302
In 0.531 0.998 0.302
In 0.000 0.000 0.000
In 0.469 0.498 0.698
In 0.469 0.002 0.698
K 0.032 0.250 0.446
K 0.968 0.750 0.554

Output
As for the uncorrected formation energy: -2.50 eV/atom. The value obtained for the total DFT energy (no corrections) is -4.5121 eV/atom. The total magnetic moment is 0.00 μB per cell. The volume comes out at 451.2 Å³/cell.